(1)
# CePr4Y8, relaxed, DFT PBE
# **DOS at the Fermi energy**: 22.26 states/eV/cell
# **Volume**: 488.1 Å³/cell
# **Formation enthalpy at 0 K**: 524 meV/atom
data_CePr4Y8
_space_group_name_H-M_alt 'P 1'
_space_group_IT_number 1
_space_group_name_Hall 'P 1'
_cell_length_a 7.874
_cell_length_b 7.874
_cell_length_c 7.874
_cell_angle_alpha 90.09
_cell_angle_beta 90.09
_cell_angle_gamma 90.09
loop_
_atom_site_label
_atom_site_type_symbol
_atom_site_fract_x
_atom_site_fract_y
_atom_site_fract_z
Y1 Y 0.759 0.759 0.242
Y2 Y 0.241 0.758 0.241
Y3 Y 0.242 0.242 0.242
Y4 Y 0.242 0.759 0.759
Y5 Y 0.241 0.241 0.758
Y6 Y 0.758 0.241 0.241
Y7 Y 0.758 0.758 0.758
Y8 Y 0.759 0.242 0.759
Pr1 Pr 0.000 0.000 0.000
Pr2 Pr 0.500 0.500 0.000
Pr3 Pr 0.000 0.500 0.500
Pr4 Pr 0.500 0.000 0.500
Ce1 Ce 0.500 0.500 0.500

(2)
# Ce2PrY, relaxed, DFT PBE
# **Excess energy over the best structure of this formula in the dataset**: 0.000 eV per atom
# **DOS at the Fermi energy**: 10.60 states/eV/cell
# **Volume**: 127.0 Å³/cell
# **Formation enthalpy at 0 K**: 119 meV/atom
data_Ce2PrY
_space_group_name_H-M_alt 'P 1'
_space_group_IT_number 1
_space_group_name_Hall 'P 1'
_cell_length_a 3.531
_cell_length_b 3.531
_cell_length_c 11.932
_cell_angle_alpha 81.49
_cell_angle_beta 81.49
_cell_angle_gamma 60.00
loop_
_atom_site_label
_atom_site_type_symbol
_atom_site_fract_x
_atom_site_fract_y
_atom_site_fract_z
Pr1 Pr 0.499 0.499 0.504
Y1 Y 0.668 0.668 0.997
Ce1 Ce 0.082 0.082 0.753
Ce2 Ce 0.251 0.251 0.246

(3)
# CePrY6, relaxed, DFT PBE
# **Excess energy over the best structure of this formula in the dataset**: 0.000 eV per atom
# **DOS at the Fermi energy**: 13.71 states/eV/cell
# **Volume**: 261.4 Å³/cell
# **Formation enthalpy at 0 K**: 50 meV/atom
data_CePrY6
_space_group_name_H-M_alt 'P 1'
_space_group_IT_number 1
_space_group_name_Hall 'P 1'
_cell_length_a 5.076
_cell_length_b 5.076
_cell_length_c 10.145
_cell_angle_alpha 90.00
_cell_angle_beta 90.00
_cell_angle_gamma 90.00
loop_
_atom_site_label
_atom_site_type_symbol
_atom_site_fract_x
_atom_site_fract_y
_atom_site_fract_z
Y1 Y 0.000 0.500 0.254
Y2 Y 0.500 0.000 0.746
Y3 Y 0.500 0.500 0.000
Y4 Y 0.500 0.500 0.500
Y5 Y 0.000 0.500 0.746
Y6 Y 0.500 0.000 0.254
Ce1 Ce 0.000 0.000 0.500
Pr1 Pr 0.000 0.000 0.000

(4)
# CePr6Y3, relaxed, DFT PBE
# **DOS at the Fermi energy**: 36.92 states/eV/cell
# **Volume**: 708.2 Å³/cell
# **Formation enthalpy at 0 K**: 212 meV/atom
data_CePr6Y3
_space_group_name_H-M_alt 'P 1'
_space_group_IT_number 1
_space_group_name_Hall 'P 1'
_cell_length_a 5.798
_cell_length_b 10.162
_cell_length_c 12.436
_cell_angle_alpha 90.00
_cell_angle_beta 104.85
_cell_angle_gamma 90.00
loop_
_atom_site_label
_atom_site_type_symbol
_atom_site_fract_x
_atom_site_fract_y
_atom_site_fract_z
Pr1 Pr 0.065 0.329 0.650
Pr2 Pr 0.997 0.687 0.000
Pr3 Pr 0.497 0.813 0.500
Pr4 Pr 0.935 0.671 0.350
Pr5 Pr 0.651 0.499 0.763
Pr6 Pr 0.151 0.001 0.263
Pr7 Pr 0.849 0.999 0.737
Pr8 Pr 0.003 0.313 0.000
Pr9 Pr 0.349 0.501 0.237
Pr10 Pr 0.565 0.171 0.150
Pr11 Pr 0.435 0.829 0.850
Pr12 Pr 0.503 0.187 0.500
Y1 Y 0.449 0.165 0.864
Y2 Y 0.949 0.335 0.364
Y3 Y 0.000 0.000 0.500
Y4 Y 0.500 0.500 0.000
Y5 Y 0.551 0.835 0.136
Y6 Y 0.051 0.665 0.636
Ce1 Ce 0.500 0.500 0.500
Ce2 Ce 0.000 0.000 0.000

(5)
# CePr2Y, relaxed, DFT PBE
# **Excess energy over the best structure of this formula in the dataset**: 0.130 eV per atom
# **DOS at the Fermi energy**: 10.76 states/eV/cell
# **Volume**: 138.0 Å³/cell
# **Formation enthalpy at 0 K**: 193 meV/atom
data_CePr2Y
_space_group_name_H-M_alt 'P 1'
_space_group_IT_number 1
_space_group_name_Hall 'P 1'
_cell_length_a 5.801
_cell_length_b 5.801
_cell_length_c 5.801
_cell_angle_alpha 60.00
_cell_angle_beta 60.00
_cell_angle_gamma 60.00
loop_
_atom_site_label
_atom_site_type_symbol
_atom_site_fract_x
_atom_site_fract_y
_atom_site_fract_z
Y1 Y 0.500 0.500 0.500
Pr1 Pr 0.250 0.250 0.250
Pr2 Pr 0.750 0.750 0.750
Ce1 Ce 0.000 0.000 0.000

(6)
# CePr2Y, relaxed, DFT PBE
# **Excess energy over the best structure of this formula in the dataset**: 0.018 eV per atom
# **DOS at the Fermi energy**: 8.72 states/eV/cell
# **Volume**: 135.0 Å³/cell
# **Formation enthalpy at 0 K**: 81 meV/atom
data_CePr2Y
_space_group_name_H-M_alt 'P 1'
_space_group_IT_number 1
_space_group_name_Hall 'P 1'
_cell_length_a 5.099
_cell_length_b 5.147
_cell_length_c 5.147
_cell_angle_alpha 90.00
_cell_angle_beta 90.00
_cell_angle_gamma 90.00
loop_
_atom_site_label
_atom_site_type_symbol
_atom_site_fract_x
_atom_site_fract_y
_atom_site_fract_z
Ce1 Ce 0.500 0.500 0.500
Pr1 Pr 0.000 0.000 0.500
Pr2 Pr 0.000 0.500 0.000
Y1 Y 0.500 0.000 0.000

(7)
# CePr2Y, relaxed, DFT PBE
# **Excess energy over the best structure of this formula in the dataset**: 0.000 eV per atom
# **DOS at the Fermi energy**: 8.20 states/eV/cell
# **Volume**: 134.1 Å³/cell
# **Formation enthalpy at 0 K**: 63 meV/atom
data_CePr2Y
_space_group_name_H-M_alt 'P 1'
_space_group_IT_number 1
_space_group_name_Hall 'P 1'
_cell_length_a 3.631
_cell_length_b 3.631
_cell_length_c 11.927
_cell_angle_alpha 81.24
_cell_angle_beta 81.24
_cell_angle_gamma 59.99
loop_
_atom_site_label
_atom_site_type_symbol
_atom_site_fract_x
_atom_site_fract_y
_atom_site_fract_z
Ce1 Ce 0.667 0.667 0.999
Y1 Y 0.500 0.500 0.500
Pr1 Pr 0.251 0.251 0.247
Pr2 Pr 0.082 0.082 0.754

(8)
# CePr5Y, relaxed, DFT PBE
# **DOS at the Fermi energy**: 16.35 states/eV/cell
# **Volume**: 307.9 Å³/cell
# **Formation enthalpy at 0 K**: 861 meV/atom
data_CePr5Y
_space_group_name_H-M_alt 'P 1'
_space_group_IT_number 1
_space_group_name_Hall 'P 1'
_cell_length_a 5.849
_cell_length_b 7.988
_cell_length_c 7.988
_cell_angle_alpha 66.58
_cell_angle_beta 68.52
_cell_angle_gamma 68.52
loop_
_atom_site_label
_atom_site_type_symbol
_atom_site_fract_x
_atom_site_fract_y
_atom_site_fract_z
Pr1 Pr 0.000 0.683 0.317
Pr2 Pr 0.000 0.317 0.683
Pr3 Pr 0.757 0.243 0.243
Pr4 Pr 0.243 0.757 0.757
Pr5 Pr 0.500 0.000 0.000
Ce1 Ce 0.000 0.000 0.000
Y1 Y 0.500 0.500 0.500

Which value of formation enthalpy at 0 K does entry 3 give?
50 meV/atom

Which formula does entry 5 have?
CePr2Y

Please write out number 8 again, unchanged.
# CePr5Y, relaxed, DFT PBE
# **DOS at the Fermi energy**: 16.35 states/eV/cell
# **Volume**: 307.9 Å³/cell
# **Formation enthalpy at 0 K**: 861 meV/atom
data_CePr5Y
_space_group_name_H-M_alt 'P 1'
_space_group_IT_number 1
_space_group_name_Hall 'P 1'
_cell_length_a 5.849
_cell_length_b 7.988
_cell_length_c 7.988
_cell_angle_alpha 66.58
_cell_angle_beta 68.52
_cell_angle_gamma 68.52
loop_
_atom_site_label
_atom_site_type_symbol
_atom_site_fract_x
_atom_site_fract_y
_atom_site_fract_z
Pr1 Pr 0.000 0.683 0.317
Pr2 Pr 0.000 0.317 0.683
Pr3 Pr 0.757 0.243 0.243
Pr4 Pr 0.243 0.757 0.757
Pr5 Pr 0.500 0.000 0.000
Ce1 Ce 0.000 0.000 0.000
Y1 Y 0.500 0.500 0.500

Repeat the sixth record exactly.
# CePr2Y, relaxed, DFT PBE
# **Excess energy over the best structure of this formula in the dataset**: 0.018 eV per atom
# **DOS at the Fermi energy**: 8.72 states/eV/cell
# **Volume**: 135.0 Å³/cell
# **Formation enthalpy at 0 K**: 81 meV/atom
data_CePr2Y
_space_group_name_H-M_alt 'P 1'
_space_group_IT_number 1
_space_group_name_Hall 'P 1'
_cell_length_a 5.099
_cell_length_b 5.147
_cell_length_c 5.147
_cell_angle_alpha 90.00
_cell_angle_beta 90.00
_cell_angle_gamma 90.00
loop_
_atom_site_label
_atom_site_type_symbol
_atom_site_fract_x
_atom_site_fract_y
_atom_site_fract_z
Ce1 Ce 0.500 0.500 0.500
Pr1 Pr 0.000 0.000 0.500
Pr2 Pr 0.000 0.500 0.000
Y1 Y 0.500 0.000 0.000